Ho4Al3: optimized geometry, GGA-PBE.

Cell lengths 5.0293, 5.0293, 8.6924 Å; angles 73.18, 73.18, 60.00 degrees
Closest atoms and distances in Å follow each position.
Fractional positions:
1 Ho 0.3803 0.3803 0.8590  7 Al 3.02-3.15
2 Al 0.2520 0.2520 0.2439  8 Ho 3.02-3.15
3 Ho 0.6197 0.6197 0.1410  7 Al 3.02-3.15
4 Al 0.7480 0.7480 0.7561  8 Ho 3.02-3.15
5 Ho 0.1283 0.1283 0.6152  5 Al 3.04-3.15
6 Ho 0.8717 0.8717 0.3848  5 Al 3.04-3.15
7 Al 0.0000 0.0000 0.0000  8 Ho 3.13-3.15

Properties
total magnetic moment: 0.000 Bohr magnetons per cell
uncorrected energy: -4.466 eV per atom
ρ: 6.85 Mg/m³

LaTi2Sn2: optimized geometry, GGA-PBE.

Cell lengths 4.3426, 3.1732, 9.2537 Å; angles 80.13, 76.43, 90.00 degrees
Closest atoms and distances in Å follow each position.
Fractional positions:
1 Ti 0.0188 0.0188 0.9624  6 Ti 2.93-3.17, 6 Sn 3.13-3.25
2 Ti 0.5842 0.5842 0.8317  3 Sn 2.74-2.76, 4 Ti 2.93
3 Sn 0.1788 0.6788 0.6425  2 Ti 2.74
4 Sn 0.4284 0.4284 0.1431  1 Ti 2.76
5 La 0.7898 0.2898 0.4203  2 La 3.17, 6 Sn 3.28-3.33

Properties
total magnetic moment: 0.262 Bohr magnetons per cell
uncorrected energy: -5.962 eV per atom
ρ: 6.42 Mg/m³

TiPdAu3: optimized geometry, GGA-PBE.

Cell lengths 5.1197, 5.3881, 7.6311 Å; angles 110.67, 90.00, 90.00 degrees
Closest atoms and distances in Å follow each position.
Fractional positions:
1 Au 0.2500 0.9001 0.3056  4 Au 2.66-2.87, 3 Ti 2.69-2.93, 3 Pd 2.89-2.91
2 Au 0.5000 0.0000 0.0000  2 Au 2.56
3 Ti 0.2500 0.8167 0.6334  8 Au 2.69-2.93, 2 Pd 2.70
4 Pd 0.7500 0.6667 0.3335  2 Ti 2.70, 6 Au 2.89-2.91
5 Au 0.2500 0.4055 0.3056  4 Au 2.66-2.87, 3 Ti 2.69-2.93, 3 Pd 2.89-2.91
6 Ti 0.7500 0.1833 0.3666  8 Au 2.69-2.93, 2 Pd 2.70
7 Au 0.0000 0.0000 0.0000  2 Au 2.56
8 Au 0.7500 0.5945 0.6944  4 Au 2.66-2.87, 3 Ti 2.69-2.93, 3 Pd 2.89-2.91
9 Pd 0.2500 0.3333 0.6665  2 Ti 2.70, 6 Au 2.89-2.91
10 Au 0.7500 0.0999 0.6944  4 Au 2.66-2.87, 3 Ti 2.69-2.93, 3 Pd 2.89-2.91

Properties
total magnetic moment: 0.001 Bohr magnetons per cell
uncorrected energy: -4.662 eV per atom
ρ: 12.57 Mg/m³

Ca3CeZn4: optimized geometry, GGA-PBE.

Cell lengths 5.1801, 5.1801, 8.9810 Å; angles 73.24, 73.24, 60.00 degrees
Closest atoms and distances in Å follow each position.
Fractional positions:
1 Ca 0.5000 0.5000 0.5000  8 Zn 3.19-3.20
2 Zn 0.1227 0.1227 0.6319  1 Ce 3.12, 7 Ca 3.14-3.20
3 Zn 0.8773 0.8773 0.3681  1 Ce 3.12, 7 Ca 3.14-3.20
4 Ca 0.7514 0.7514 0.7457  8 Zn 3.14-3.20
5 Ca 0.2486 0.2486 0.2543  8 Zn 3.14-3.20
6 Zn 0.6258 0.6258 0.1225  3 Ce 3.17, 5 Ca 3.19-3.20
7 Ce 0.0000 0.0000 0.0000  8 Zn 3.12-3.17
8 Zn 0.3742 0.3742 0.8775  3 Ce 3.17, 5 Ca 3.19-3.20

Properties
total magnetic moment: 0.919 Bohr magnetons per cell
uncorrected energy: -2.353 eV per atom
ρ: 4.40 Mg/m³

Ti3BRu: optimized geometry, GGA-PBE.

Cell lengths 4.6221, 4.6221, 4.6221 Å; angles 90.00, 90.00, 90.00 degrees
Closest atoms and distances in Å follow each position.
Fractional positions:
1 B 0.5000 0.5000 0.5000  12 Ti 3.27
2 Ti 0.0000 0.5000 0.0000  2 Ru 2.31
3 Ti 0.0000 0.0000 0.5000  2 Ru 2.31
4 Ru 0.0000 0.0000 0.0000  6 Ti 2.31
5 Ti 0.5000 0.0000 0.0000  2 Ru 2.31

Properties
total magnetic moment: 1.748 Bohr magnetons per cell
uncorrected energy: -6.795 eV per atom
ρ: 4.30 Mg/m³

Ga2CuNi: optimized geometry, GGA-PBE.

Cell lengths 6.7825, 6.7825, 5.4499 Å; angles 51.52, 51.52, 90.00 degrees
Closest atoms and distances in Å follow each position.
Fractional positions:
1 Ni 0.5000 0.5000 0.0000  4 Ga 2.42, 2 Cu 2.59
2 Ga 0.8750 0.8615 0.7500  2 Ni 2.42, 2 Cu 2.55, 2 Ga 2.59
3 Ga 0.6115 0.1250 0.2500  2 Ni 2.42, 2 Cu 2.55, 2 Ga 2.59
4 Ni 0.2500 0.7500 0.5000  4 Ga 2.42, 2 Cu 2.59
5 Cu 0.7500 0.2500 0.5000  4 Ga 2.55, 2 Ni 2.59
6 Ga 0.1385 0.6250 0.2500  2 Ni 2.42, 2 Cu 2.55, 2 Ga 2.59
7 Cu 0.0000 0.0000 0.0000  4 Ga 2.55, 2 Ni 2.59
8 Ga 0.3750 0.3885 0.7500  2 Ni 2.42, 2 Cu 2.55, 2 Ga 2.59

Properties
total magnetic moment: 0.000 Bohr magnetons per cell
uncorrected energy: -3.871 eV per atom
ρ: 7.30 Mg/m³

TePbSN2: optimized geometry, GGA-PBE.

Cell lengths 4.3745, 4.3745, 5.4578 Å; angles 90.00, 90.00, 90.00 degrees
Closest atoms and distances in Å follow each position.
Fractional positions:
1 N 0.5000 0.0000 0.0000  2 S 2.19
2 Te 0.0000 0.0000 0.5000  2 S 2.73
3 Pb 0.5000 0.5000 0.5000  4 Te 3.09
4 N 0.0000 0.5000 0.0000  2 S 2.19
5 S 0.0000 0.0000 0.0000  4 N 2.19

Properties
formation energy (no corrections): 1.67 eV/atom
total magnetic moment: 2.410 Bohr magnetons per cell
uncorrected energy: -3.857 eV per atom
ρ: 6.28 Mg/m³

Ce2BeCo: optimized geometry, GGA-PBE.

Cell lengths 2.8866, 2.8866, 10.6183 Å; angles 82.19, 82.19, 60.00 degrees
Closest atoms and distances in Å follow each position.
Fractional positions:
1 Co 0.5000 0.5000 0.5000  6 Ce 2.85, 6 Co 2.89
2 Ce 0.0933 0.0933 0.7200  3 Co 2.85, 6 Ce 2.89, 1 Be 2.94
3 Be 0.0000 0.0000 0.0000  6 Be 2.89, 2 Ce 2.94
4 Ce 0.9067 0.9067 0.2800  3 Co 2.85, 6 Ce 2.89, 1 Be 2.94

Properties
total magnetic moment: 0.827 Bohr magnetons per cell
uncorrected energy: -5.022 eV per atom
ρ: 7.64 Mg/m³

Tb3Tm8Sc3: optimized geometry, GGA-PBE.

Cell lengths 5.3191, 10.1122, 10.1127 Å; angles 56.10, 74.75, 74.75 degrees
Closest atoms and distances in Å follow each position.
Fractional positions:
1 Sc 0.5000 0.5000 0.5000  4 Tm 3.22, 4 Tb 3.52
2 Tb 0.0000 0.7422 0.2578  6 Tm 3.39-3.53, 4 Sc 3.52-3.77, 2 Tb 3.62
3 Tm 0.2018 0.4561 0.1402  4 Tm 3.00-3.13, 1 Sc 3.30
4 Tm 0.7982 0.8598 0.5439  4 Tm 3.00-3.13, 1 Sc 3.30
5 Tm 0.6227 0.1199 0.6348  3 Tm 3.10-3.13, 3 Tb 3.11-3.39, 1 Sc 3.22
6 Sc 0.1678 0.8322 0.8322  6 Tm 3.30-3.60
7 Tb 0.0000 0.2578 0.7422  6 Tm 3.39-3.53, 4 Sc 3.52-3.77, 2 Tb 3.62
8 Tm 0.7982 0.5439 0.8598  4 Tm 3.00-3.13, 1 Sc 3.30
9 Tm 0.3773 0.8801 0.3652  3 Tm 3.10-3.13, 3 Tb 3.11-3.39, 1 Sc 3.22
10 Tm 0.6227 0.6348 0.1199  3 Tm 3.10-3.13, 3 Tb 3.11-3.39, 1 Sc 3.22
11 Sc 0.8322 0.1678 0.1678  6 Tm 3.30-3.60
12 Tm 0.3773 0.3652 0.8801  3 Tm 3.10-3.13, 3 Tb 3.11-3.39, 1 Sc 3.22
13 Tm 0.2018 0.1402 0.4561  4 Tm 3.00-3.13, 1 Sc 3.30
14 Tb 0.5000 0.0000 0.0000  4 Tm 3.11

Properties
total magnetic moment: 0.000 Bohr magnetons per cell
uncorrected energy: -4.514 eV per atom
ρ: 7.56 Mg/m³

Rb2NaZnI6: optimized geometry, GGA-PBE.

Cell lengths 8.4250, 8.4250, 8.4308 Å; angles 60.02, 60.02, 90.00 degrees
Closest atoms and distances in Å follow each position.
Fractional positions:
1 Rb 0.7500 0.2500 0.5000  12 I 4.21-4.22
2 Na 0.5000 0.5000 0.0000  6 I 3.12-3.13
3 I 0.2380 0.7620 0.0000  1 Zn 2.84, 1 Na 3.12
4 Zn 0.0000 0.0000 0.0000  6 I 2.84
5 I 0.2380 0.2380 0.5239  1 Zn 2.84, 1 Na 3.13
6 I 0.7620 0.7620 0.0000  1 Zn 2.84, 1 Na 3.12
7 I 0.7620 0.7620 0.4761  1 Zn 2.84, 1 Na 3.13
8 I 0.7620 0.2380 0.0000  1 Zn 2.84, 1 Na 3.12
9 Rb 0.2500 0.7500 0.5000  12 I 4.21-4.22
10 I 0.2380 0.2380 0.0000  1 Zn 2.84, 1 Na 3.12

Properties
formation energy (no corrections): -0.89 eV/atom
total magnetic moment: 0.000 Bohr magnetons per cell
uncorrected energy: -2.271 eV per atom
ρ: 4.00 Mg/m³

NdTh2Sc7: optimized geometry, GGA-PBE.

Cell lengths 3.3871, 7.8333, 11.5930 Å; angles 109.75, 90.00, 90.00 degrees
Closest atoms and distances in Å follow each position.
Fractional positions:
1 Sc 0.0000 0.3787 0.7574  6 Sc 2.98-3.14, 2 Th 3.24
2 Th 0.5000 0.2524 0.5047  4 Sc 3.23-3.24, 2 Th 3.39
3 Sc 0.5000 0.9335 0.2412  3 Sc 2.93-2.98, 1 Th 3.23
4 Sc 0.5000 0.3077 0.2412  3 Sc 2.93-2.98, 1 Th 3.23
5 Sc 0.5000 0.5000 0.0000  6 Sc 3.14-3.39
6 Sc 0.5000 0.6923 0.7588  3 Sc 2.93-2.98, 1 Th 3.23
7 Nd 0.0000 0.0000 0.0000  2 Nd 3.39, 8 Sc 3.46
8 Sc 0.5000 0.0665 0.7588  3 Sc 2.93-2.98, 1 Th 3.23
9 Sc 0.0000 0.6213 0.2426  6 Sc 2.98-3.14, 2 Th 3.24
10 Th 0.5000 0.7476 0.4953  4 Sc 3.23-3.24, 2 Th 3.39

Properties
total magnetic moment: 0.001 Bohr magnetons per cell
uncorrected energy: -6.007 eV per atom
ρ: 5.29 Mg/m³

Sc8InIr2: optimized geometry, GGA-PBE.

Cell lengths 4.8895, 6.5243, 8.4486 Å; angles 112.71, 106.82, 90.01 degrees
Closest atoms and distances in Å follow each position.
Fractional positions:
1 Sc 0.3447 0.8527 0.3259  3 Ir 2.66-2.82
2 Sc 0.6365 0.2750 0.9091  2 Ir 2.76, 2 Sc 2.99
3 Sc 0.7476 0.9403 0.1316  1 Ir 2.65
4 Sc 0.3081 0.3573 0.2526  3 Ir 2.81-2.98, 1 In 2.89, 3 Sc 3.03-3.04
5 Sc 0.9645 0.0139 0.5656  3 Ir 2.81-2.98, 1 In 2.89, 3 Sc 3.03-3.04
6 Ir 0.4655 0.2754 0.5675  6 Sc 2.65-2.82
7 Sc 0.5251 0.7178 0.6867  1 Ir 2.65
8 Ir 0.8071 0.6169 0.2507  6 Sc 2.65-2.82
9 Sc 0.9279 0.4360 0.4923  3 Ir 2.66-2.82
10 Sc 0.1367 0.5391 0.9091  1 In 2.85, 4 Sc 2.99-3.16
11 In 0.1363 0.9757 0.9090  9 Sc 2.85-3.13

Properties
total magnetic moment: 0.000 Bohr magnetons per cell
uncorrected energy: -6.983 eV per atom
ρ: 6.04 Mg/m³